# DyPuRh4 (PBE, relaxed)
# ΔH_f (0 K), eV/atom: -0.598
# DOS(E_F), states/eV per atom: 2.238
data_DyPuRh4
_chemical_formula_sum 'Dy4 Pu4 Rh16'
_cell_length_a 7.5469
_cell_length_b 7.5469
_cell_length_c 7.5469
_cell_angle_alpha 90.00
_cell_angle_beta 90.00
_cell_angle_gamma 90.00
_symmetry_space_group_name_H-M 'F -4 3 m'
_symmetry_Int_Tables_number 216
_symmetry_space_group_name_Hall 'F -4 2 3'
loop_
_atom_site_label
_atom_site_type_symbol
_atom_site_fract_x
_atom_site_fract_y
_atom_site_fract_z
_atom_site_occupancy
Dy1 Dy 0.0000 0.0000 0.0000 1
Pu1 Pu 0.2500 0.2500 0.2500 1
Rh1 Rh 0.1249 0.1249 0.6249 1